No. 1
Entry from Alexandria: a relaxed Co2AgOs crystal (PBE-GGA).

a = 4.4844 Å, b = 4.4844 Å, c = 2.6860 Å
α = 90.00°, β = 90.00°, γ = 90.00°
Sites, in units of the cell vectors:
Co  0.0000  0.5000  0.0000
Co  0.5000  0.0000  0.0000
Ag  0.0000  0.0000  0.5000
Os  0.5000  0.5000  0.5000

Output
The value obtained for the formation energy is 0.510 eV/atom. The mass density comes out at 12.79 g/cm³. As for the density of states at the Fermi level: 4.291 states/eV per cell. For the energy above the lowest structure with this stoichiometry, the calculation gives 221 meV/atom.

=====

No. 2
Entry from Alexandria: a relaxed U3Tl4Te8Pd crystal (PBE-GGA).

a = 9.7253 Å, b = 9.7253 Å, c = 9.7253 Å
α = 52.41°, β = 52.41°, γ = 52.41°
Sites, in units of the cell vectors:
U  0.0000  0.5000  0.5000
U  0.5000  0.0000  0.5000
U  0.5000  0.5000  0.0000
Tl  0.0000  0.0000  0.5000
Tl  0.0000  0.5000  0.0000
Tl  0.5000  0.0000  0.0000
Tl  0.5000  0.5000  0.5000
Te  0.2305  0.2305  0.7464
Te  0.2305  0.7464  0.2305
Te  0.2536  0.7695  0.7695
Te  0.2600  0.2600  0.2600
Te  0.7400  0.7400  0.7400
Te  0.7464  0.2305  0.2305
Te  0.7695  0.2536  0.7695
Te  0.7695  0.7695  0.2536
Pd  0.0000  0.0000  0.0000

Output
The mass density comes out at 8.26 g/cm³. As for the density of states at the Fermi level: 19.995 states/eV per cell. For the uncorrected formation energy, the calculation gives -455 meV/atom.

=====

No. 3
Entry from Alexandria: a relaxed Li2LaTbCd4 crystal (PBE-GGA).

a = 8.9605 Å, b = 8.9605 Å, c = 8.9605 Å
α = 33.43°, β = 33.43°, γ = 33.43°
Sites, in units of the cell vectors:
Li  0.2482  0.2482  0.2482
Li  0.7518  0.7518  0.7518
La  0.0000  0.0000  0.0000
Tb  0.5000  0.5000  0.5000
Cd  0.1281  0.1281  0.1281
Cd  0.3789  0.3789  0.3789
Cd  0.6211  0.6211  0.6211
Cd  0.8719  0.8719  0.8719

Output
The value obtained for the formation energy is -0.268 eV/atom. The mass density comes out at 6.50 g/cm³. As for the density of states at the Fermi level: 6.315 states/eV per cell.

=====

No. 4
Entry from Alexandria: a relaxed Ta2TcRu crystal (PBE-GGA).

a = 5.2625 Å, b = 5.2625 Å, c = 5.2625 Å
α = 137.59°, β = 137.59°, γ = 61.53°
Sites, in units of the cell vectors:
Ta  0.0000  0.0000  0.0000
Ta  0.7500  0.2500  0.5000
Tc  0.2500  0.7500  0.5000
Ru  0.5000  0.5000  0.0000

Output
The value obtained for the formation energy is -0.091 eV/atom. The mass density comes out at 14.22 g/cm³. As for the density of states at the Fermi level: 4.758 states/eV per cell.

=====

No. 5
Entry from Alexandria: a relaxed Ag12Br17 crystal (PBE-GGA).

a = 11.4969 Å, b = 11.4969 Å, c = 11.4969 Å
α = 109.47°, β = 109.47°, γ = 109.47°
Sites, in units of the cell vectors:
Ag  0.0000  0.3671  0.8225
Ag  0.0000  0.8225  0.3671
Ag  0.1775  0.1775  0.5446
Ag  0.1775  0.5446  0.1775
Ag  0.3671  0.0000  0.8225
Ag  0.3671  0.8225  0.0000
Ag  0.4554  0.6329  0.6329
Ag  0.5446  0.1775  0.1775
Ag  0.6329  0.4554  0.6329
Ag  0.6329  0.6329  0.4554
Ag  0.8225  0.0000  0.3671
Ag  0.8225  0.3671  0.0000
Br  0.0000  0.0000  0.0000
Br  0.0000  0.0000  0.2584
Br  0.0000  0.2584  0.0000
Br  0.0000  0.2715  0.5720
Br  0.0000  0.5720  0.2715
Br  0.2584  0.0000  0.0000
Br  0.2715  0.0000  0.5720
Br  0.2715  0.5720  0.0000
Br  0.3005  0.7285  0.7285
Br  0.4280  0.4280  0.6995
Br  0.4280  0.6995  0.4280
Br  0.5720  0.0000  0.2715
Br  0.5720  0.2715  0.0000
Br  0.6995  0.4280  0.4280
Br  0.7285  0.3005  0.7285
Br  0.7285  0.7285  0.3005
Br  0.7416  0.7416  0.7416

Output
The mass density comes out at 3.77 g/cm³. As for the density of states at the Fermi level: 11.383 states/eV per cell. For the uncorrected formation energy, the calculation gives -228 meV/atom.

=====

No. 6
Entry from Alexandria: a relaxed Tb2Nd6Dy3Ho crystal (PBE-GGA).

a = 6.2760 Å, b = 6.2760 Å, c = 11.8734 Å
α = 95.04°, β = 95.04°, γ = 119.99°
Sites, in units of the cell vectors:
Tb  0.1667  0.8333  0.0000
Tb  0.8333  0.1667  0.0000
Nd  0.0832  0.4163  0.7499
Nd  0.2506  0.2506  0.2503
Nd  0.4163  0.0832  0.7499
Nd  0.5837  0.9168  0.2501
Nd  0.7494  0.7494  0.7497
Nd  0.9168  0.5837  0.2501
Dy  0.0000  0.0000  0.5000
Dy  0.3333  0.6667  0.5000
Dy  0.6667  0.3333  0.5000
Ho  0.5000  0.5000  0.0000

Output
The value obtained for the formation energy is 0.011 eV/atom. The mass density comes out at 7.64 g/cm³. As for the density of states at the Fermi level: 13.831 states/eV per cell.

=====

No. 7
Entry from Alexandria: a relaxed AcSmCu2 crystal (PBE-GGA).

a = 3.6778 Å, b = 3.6778 Å, c = 7.2999 Å
α = 90.00°, β = 90.00°, γ = 90.00°
Sites, in units of the cell vectors:
Ac  0.0000  0.0000  0.0000
Sm  0.0000  0.0000  0.5000
Cu  0.5000  0.5000  0.2843
Cu  0.5000  0.5000  0.7157

Output
The value obtained for the formation energy is -0.128 eV/atom. The mass density comes out at 8.48 g/cm³. As for the density of states at the Fermi level: 2.597 states/eV per cell. For the energy above the lowest structure with this stoichiometry, the calculation gives 23 meV/atom.

=====

No. 8
Entry from Alexandria: a relaxed EuTmHgPt crystal (PBE-GGA).

a = 5.1318 Å, b = 5.1318 Å, c = 5.1318 Å
α = 60.00°, β = 60.00°, γ = 60.00°
Sites, in units of the cell vectors:
Eu  0.0000  0.0000  0.0000
Tm  0.5000  0.5000  0.5000
Hg  0.2500  0.2500  0.2500
Pt  0.7500  0.7500  0.7500

Output
The value obtained for the formation energy is -0.723 eV/atom. The mass density comes out at 12.45 g/cm³. As for the density of states at the Fermi level: 8.235 states/eV per cell.

=====

No. 9
Entry from Alexandria: a relaxed Ba2AgRu crystal (PBE-GGA).

a = 6.1304 Å, b = 6.1304 Å, c = 6.1304 Å
α = 134.29°, β = 134.29°, γ = 66.63°
Sites, in units of the cell vectors:
Ba  0.0000  0.0000  0.0000
Ba  0.7500  0.2500  0.5000
Ag  0.5000  0.5000  0.0000
Ru  0.2500  0.7500  0.5000

Output
The value obtained for the formation energy is 0.499 eV/atom. The mass density comes out at 6.91 g/cm³. As for the density of states at the Fermi level: 4.503 states/eV per cell. For the energy above the lowest structure with this stoichiometry, the calculation gives 246 meV/atom.

=====

Q: What is the mass density in the seventh record?
A: 8.48 g/cm³

=====

Q: Look up the mass density of the fifth one.
A: 3.77 g/cm³